(1)
Compound: YTmI2
Source: Alexandria via LeMat-Bulk
Functional: PBE
Structure: relaxed

* space-group type: No. 166
* total energy: -4.119 eV per atom
* energy relative to the elements, uncorrected: -0.61 eV/atom

Cell: 10.8227 10.8227 10.8227 Å, 20.44 20.44 20.44°
Last column: nearest neighbours and their distance in Å.
Fractional positions:
Y (0.0000, 0.0000, 0.0000)  6 I 3.13
Tm (0.5000, 0.5000, 0.5000)  2 I 3.08
I (0.4030, 0.4030, 0.4030)  1 Tm 3.08, 3 Y 3.13
I (0.5970, 0.5970, 0.5970)  1 Tm 3.08, 3 Y 3.13

(2)
Compound: K2YSi2O6
Source: Alexandria via LeMat-Bulk
Functional: PBE
Structure: relaxed

* space-group type: No. 166
* total energy: -7.031 eV per atom
* energy relative to the elements, uncorrected: -2.55 eV/atom

Cell: 6.8395 6.8395 6.8395 Å, 50.82 50.82 50.82°
Last column: nearest neighbours and their distance in Å.
Fractional positions:
K (0.2136, 0.2136, 0.2136)  9 O 3.03
K (0.7864, 0.7864, 0.7864)  9 O 3.03
Y (0.0000, 0.0000, 0.0000)  6 O 2.27
Si (0.4280, 0.4280, 0.4280)  3 O 1.62
Si (0.5720, 0.5720, 0.5720)  3 O 1.62
O (0.2546, 0.2546, 0.7226)  1 Si 1.62
O (0.2546, 0.7226, 0.2546)  1 Si 1.62
O (0.2774, 0.7454, 0.7454)  1 Si 1.62
O (0.7226, 0.2546, 0.2546)  1 Si 1.62
O (0.7454, 0.2774, 0.7454)  1 Si 1.62
O (0.7454, 0.7454, 0.2774)  1 Si 1.62

(3)
Compound: CoAg2Au
Source: Alexandria via LeMat-Bulk
Functional: PBE
Structure: relaxed

* ΔE to the lowest computed polymorph: 0 meV per atom
* space-group type: No. 99
* total energy: -3.821 eV per atom
* energy relative to the elements: 19 kJ per mole of atoms

Cell: 2.8519 2.8519 7.9892 Å, 90.00 90.00 90.00°
Last column: nearest neighbours and their distance in Å.
Fractional positions:
Co (0.0000, 0.0000, 0.0000)  4 Au 2.69, 4 Ag 2.74, 4 Co 2.85
Ag (0.0000, 0.0000, 0.5026)  8 Ag 2.85-2.95, 4 Au 2.98
Ag (0.5000, 0.5000, 0.2326)  4 Co 2.74, 8 Ag 2.85-2.95
Au (0.5000, 0.5000, 0.7765)  4 Co 2.69, 4 Au 2.85, 4 Ag 2.98

(4)
Compound: Rb3IrN6O12
Source: Alexandria via LeMat-Bulk
Functional: PBE
Structure: relaxed

* space-group type: No. 225
* total energy: -4.752 eV per atom
* energy relative to the elements, uncorrected: 0.76 eV/atom

Cell: 8.8339 8.8339 8.8339 Å, 60.00 60.00 60.00°
Last column: nearest neighbours and their distance in Å.
Fractional positions:
Rb (0.0000, 0.0000, 0.0000)  6 N 4.28, 24 O 4.46
Rb (0.2500, 0.2500, 0.2500)  12 O 3.19
Rb (0.7500, 0.7500, 0.7500)  12 O 3.19
Ir (0.5000, 0.5000, 0.5000)  6 N 1.97
N (0.3423, 0.3423, 0.6577)  1 Ir 1.97
N (0.3423, 0.6577, 0.3423)  1 Ir 1.97
N (0.3423, 0.6577, 0.6577)  1 Ir 1.97
N (0.6577, 0.3423, 0.3423)  1 Ir 1.97
N (0.6577, 0.3423, 0.6577)  1 Ir 1.97
N (0.6577, 0.6577, 0.3423)  1 Ir 1.97
O (0.0725, 0.5000, 0.5000)  1 O 1.28
O (0.0725, 0.5000, 0.9275)  1 O 1.28
O (0.0725, 0.9275, 0.5000)  1 O 1.28
O (0.5000, 0.0725, 0.5000)  1 O 1.28
O (0.5000, 0.0725, 0.9275)  1 O 1.28
O (0.5000, 0.5000, 0.0725)  1 O 1.28
O (0.5000, 0.5000, 0.9275)  1 O 1.28
O (0.5000, 0.9275, 0.0725)  1 O 1.28
O (0.5000, 0.9275, 0.5000)  1 O 1.28
O (0.9275, 0.0725, 0.5000)  1 O 1.28
O (0.9275, 0.5000, 0.0725)  1 O 1.28
O (0.9275, 0.5000, 0.5000)  1 O 1.28